Density functional theory data (GGA-PBE) for an optimized crystal structure of La2Tb2Cd.

Computed properties:
The density of states at the Fermi level is 11.36 states/eV/cell. For the energy of formation from the pure elements, the calculation gives -4.9 kJ per mole of atoms. The value obtained for the calculated volume is 319.0 Å³/cell.

Structure (POSCAR):
```
La2Tb2Cd
1.0
8.644 0.000 0.625
4.322 4.726 0.312
4.358 0.000 8.122
La Tb Cd
4 4 2
Direct
0.736 0.000 0.428
0.593 0.000 0.124
0.407 0.000 0.876
0.264 0.000 0.572
0.671 0.369 0.722
0.329 0.631 0.278
0.040 0.631 0.722
0.960 0.369 0.278
0.159 0.682 0.000
0.841 0.318 0.000
```

=====

Density functional theory data (GGA-PBE) for an optimized crystal structure of HoTm6Mg.

Computed properties:
The density of states at the Fermi level is 12.99 states/eV/cell. For the energy of formation from the pure elements, the calculation gives 3.8 kJ per mole of atoms. The value obtained for the calculated volume is 235.3 Å³/cell.

Structure (POSCAR):
```
HoTm6Mg
1.0
-0.301 4.537 1.997
-6.093 0.943 -3.060
-3.179 -2.635 5.506
Ho Tm Mg
1 6 1
Direct
0.500 0.500 0.500
0.500 0.000 0.500
0.500 0.500 0.000
0.000 0.253 0.253
0.000 0.747 0.747
0.000 0.747 0.253
0.000 0.253 0.747
0.500 0.000 0.000
```

=====

Density functional theory data (GGA-PBE) for an optimized crystal structure of La2CoPdC.

Computed properties:
The density of states at the Fermi level is 4.29 states/eV/cell. For the energy of formation from the pure elements, the calculation gives 77.2 kJ per mole of atoms. The value obtained for the calculated volume is 121.1 Å³/cell.

Structure (POSCAR):
```
La2CoPdC
1.0
5.187 0.000 0.000
0.000 4.502 0.000
0.000 0.000 5.187
C Co Pd La
1 1 1 2
Direct
0.500 0.500 0.500
0.000 0.000 0.000
0.000 0.500 0.000
0.000 0.000 0.500
0.500 0.000 0.000
```

=====

Density functional theory data (GGA-PBE) for an optimized crystal structure of Mo2RhPbAu.

Computed properties:
The density of states at the Fermi level is 9.93 states/eV/cell. For the energy of formation from the pure elements, the calculation gives 221.4 kJ per mole of atoms. The value obtained for the calculated volume is 123.3 Å³/cell.

Structure (POSCAR):
```
Mo2RhPbAu
1.0
-1.894 4.141 -2.146
-2.766 -2.765 -2.894
-3.683 0.093 3.431
Pb Rh Mo Au
1 1 2 1
Direct
0.000 0.000 0.000
0.000 0.500 0.000
0.000 0.000 0.500
0.500 0.000 0.000
0.500 0.500 0.500
```